Entry 1:
Crystalline LiCoPt2 at its relaxed geometry, computed with PBE.

Lattice parameters (Å, degrees): 2.879 2.879 6.424 90.00 90.00 90.00
Atoms (fractional coordinates):
Li 0.000 0.000 0.000
Co 0.500 0.500 0.779
Pt 0.000 0.000 0.538
Pt 0.500 0.500 0.225

Calculated formation energy in meV per atom: -88

Entry 2:
Crystalline LiCoPt2 at its relaxed geometry, computed with PBE.

Lattice parameters (Å, degrees): 2.672 2.672 9.206 90.00 90.00 118.63
Atoms (fractional coordinates):
Li 0.000 0.000 0.000
Co 0.500 0.500 0.245
Pt 0.000 0.000 0.482
Pt 0.500 0.500 0.765

Calculated formation energy in meV per atom: -39

Entry 3:
Crystalline LiCo2Pt at its relaxed geometry, computed with PBE.

Lattice parameters (Å, degrees): 2.803 4.024 4.329 90.00 90.00 90.00
Atoms (fractional coordinates):
Li 0.000 0.000 0.000
Co 0.000 0.500 0.500
Co 0.500 0.000 0.500
Pt 0.500 0.500 0.000

Calculated formation energy in meV per atom: -91

Entry 4:
Crystalline LiCoPt2 at its relaxed geometry, computed with PBE.

Lattice parameters (Å, degrees): 4.546 4.546 2.704 90.00 90.00 105.43
Atoms (fractional coordinates):
Li 0.000 0.000 0.000
Co 0.500 0.500 0.000
Pt 0.000 0.500 0.500
Pt 0.500 0.000 0.500

Calculated formation energy in meV per atom: -329

Entry 5:
Crystalline RbLiCoPt2 at its relaxed geometry, computed with PBE.

Lattice parameters (Å, degrees): 4.575 4.575 4.601 90.00 90.00 90.00
Atoms (fractional coordinates):
Rb 0.000 0.000 0.000
Li 0.500 0.500 0.500
Co 0.500 0.500 0.000
Pt 0.000 0.500 0.500
Pt 0.500 0.000 0.500

Calculated formation energy in meV per atom: 765

Entry 6:
Crystalline LiCoSbPt2 at its relaxed geometry, computed with PBE.

Lattice parameters (Å, degrees): 4.943 4.943 4.727 90.00 90.00 90.00
Atoms (fractional coordinates):
Li 0.000 0.000 0.000
Co 0.500 0.500 0.000
Sb 0.000 0.000 0.500
Pt 0.000 0.500 0.500
Pt 0.500 0.000 0.500

Uncorrected formation energy in eV per formula unit: 4.5

Entry 7:
Crystalline LiVCoPt at its relaxed geometry, computed with PBE.

Lattice parameters (Å, degrees): 4.147 4.147 4.147 60.00 60.00 60.00
Atoms (fractional coordinates):
Li 0.000 0.000 0.000
V 0.500 0.500 0.500
Co 0.750 0.750 0.750
Pt 0.250 0.250 0.250

Calculated formation energy in meV per atom: -277

Entry 8:
Crystalline LiZnCo2Pt at its relaxed geometry, computed with PBE.

Lattice parameters (Å, degrees): 4.420 4.420 4.683 90.00 90.00 90.00
Atoms (fractional coordinates):
Li 0.000 0.000 0.000
Zn 0.500 0.500 0.500
Co 0.000 0.500 0.500
Co 0.500 0.000 0.500
Pt 0.500 0.500 0.000

Calculated formation energy in meV per atom: 859

Entry 9:
Crystalline LiZrCoPt at its relaxed geometry, computed with PBE.

Lattice parameters (Å, degrees): 4.419 4.419 4.419 60.00 60.00 60.00
Atoms (fractional coordinates):
Li 0.000 0.000 0.000
Zr 0.500 0.500 0.500
Co 0.250 0.250 0.250
Pt 0.750 0.750 0.750

Calculated formation energy in meV per atom: -463

Entry 10:
Crystalline LiPu2Co at its relaxed geometry, computed with PBE.

Lattice parameters (Å, degrees): 10.716 10.716 10.716 14.45 14.45 14.45
Atoms (fractional coordinates):
Li 0.000 0.000 0.000
Pu 0.092 0.092 0.092
Pu 0.908 0.908 0.908
Co 0.500 0.500 0.500

Calculated formation energy in meV per atom: 440
ΔE to the lowest computed polymorph in kcal/mol of atoms: 6.70

Entry 11:
Crystalline LiPuCo at its relaxed geometry, computed with PBE.

Lattice parameters (Å, degrees): 4.768 4.768 5.147 90.00 90.00 117.27
Atoms (fractional coordinates):
Li 0.000 0.000 0.000
Li 0.000 0.000 0.500
Pu 0.340 0.660 0.750
Pu 0.660 0.340 0.250
Co 0.302 0.698 0.250
Co 0.698 0.302 0.750

Calculated formation energy in meV per atom: 149

Entry 12:
Crystalline LiPuCo2 at its relaxed geometry, computed with PBE.

Lattice parameters (Å, degrees): 3.979 3.979 3.552 90.00 90.00 90.00
Atoms (fractional coordinates):
Li 0.000 0.000 0.000
Pu 0.500 0.500 0.000
Co 0.000 0.500 0.500
Co 0.500 0.000 0.500

Calculated formation energy in meV per atom: 107

Entry 13:
Crystalline LiPu2Co at its relaxed geometry, computed with PBE.

Lattice parameters (Å, degrees): 3.192 3.192 8.509 90.00 90.00 90.00
Atoms (fractional coordinates):
Li 0.000 0.000 0.000
Pu 0.500 0.500 0.302
Pu 0.500 0.500 0.698
Co 0.000 0.000 0.500

Calculated formation energy in meV per atom: 149
ΔE to the lowest computed polymorph in kcal/mol of atoms: 0.00

Entry 14:
Crystalline LiPu2Co at its relaxed geometry, computed with PBE.

Lattice parameters (Å, degrees): 4.551 4.551 3.752 90.00 90.00 90.00
Atoms (fractional coordinates):
Li 0.000 0.000 0.000
Pu 0.000 0.500 0.500
Pu 0.500 0.000 0.500
Co 0.500 0.500 0.000

Calculated formation energy in meV per atom: 264
ΔE to the lowest computed polymorph in kcal/mol of atoms: 2.66

Entry 15:
Crystalline LiPu3Co8 at its relaxed geometry, computed with PBE.

Lattice parameters (Å, degrees): 8.595 8.595 8.595 33.40 33.40 33.40
Atoms (fractional coordinates):
Li 0.000 0.000 0.000
Pu 0.122 0.122 0.122
Pu 0.503 0.503 0.503
Pu 0.631 0.631 0.631
Co 0.062 0.563 0.563
Co 0.065 0.065 0.568
Co 0.065 0.568 0.065
Co 0.315 0.315 0.315
Co 0.563 0.062 0.563
Co 0.563 0.563 0.062
Co 0.568 0.065 0.065
Co 0.815 0.815 0.815

Calculated formation energy in meV per atom: -107

Entry 16:
Crystalline LiPuCoRh at its relaxed geometry, computed with PBE.

Lattice parameters (Å, degrees): 4.451 4.451 4.451 60.00 60.00 60.00
Atoms (fractional coordinates):
Li 0.000 0.000 0.000
Pu 0.500 0.500 0.500
Co 0.250 0.250 0.250
Rh 0.750 0.750 0.750

Calculated formation energy in meV per atom: -136

Entry 17:
Crystalline Li3Pu2CoS6 at its relaxed geometry, computed with PBE.

Lattice parameters (Å, degrees): 6.453 6.453 6.493 99.41 99.41 120.02
Atoms (fractional coordinates):
Li 0.000 0.000 0.000
Li 0.339 0.661 0.000
Li 0.661 0.339 0.000
Pu 0.168 0.832 0.500
Pu 0.832 0.168 0.500
Co 0.500 0.500 0.500
S 0.113 0.418 0.256
S 0.274 0.274 0.736
S 0.418 0.113 0.256
S 0.582 0.887 0.744
S 0.726 0.726 0.264
S 0.887 0.582 0.744

Uncorrected formation energy in eV per formula unit: -14.5

Entry 18:
Crystalline Li3Pu3CoS8 at its relaxed geometry, computed with PBE.

Lattice parameters (Å, degrees): 7.559 7.559 7.525 119.21 119.21 60.74
Atoms (fractional coordinates):
Li 0.000 0.000 0.000
Li 0.000 0.500 0.500
Li 0.500 0.000 0.500
Pu 0.000 0.500 0.000
Pu 0.500 0.000 0.000
Pu 0.500 0.500 0.500
Co 0.000 0.000 0.500
S 0.217 0.778 0.722
S 0.222 0.783 0.278
S 0.223 0.223 0.719
S 0.246 0.246 0.252
S 0.754 0.754 0.748
S 0.777 0.777 0.281
S 0.778 0.217 0.722
S 0.783 0.222 0.278

Uncorrected formation energy in eV per formula unit: -18.4

Entry 19:
Crystalline LiSmPuCo at its relaxed geometry, computed with PBE.

Lattice parameters (Å, degrees): 4.890 4.890 4.890 60.00 60.00 60.00
Atoms (fractional coordinates):
Li 0.000 0.000 0.000
Sm 0.250 0.250 0.250
Pu 0.750 0.750 0.750
Co 0.500 0.500 0.500

Calculated formation energy in meV per atom: 137

Entry 20:
Crystalline LiPuCoSn at its relaxed geometry, computed with PBE.

Lattice parameters (Å, degrees): 4.654 4.654 4.654 60.00 60.00 60.00
Atoms (fractional coordinates):
Li 0.000 0.000 0.000
Pu 0.250 0.250 0.250
Co 0.500 0.500 0.500
Sn 0.750 0.750 0.750

Calculated formation energy in meV per atom: -198

Entry 21:
Crystalline RbLiCo3 at its relaxed geometry, computed with PBE.

Lattice parameters (Å, degrees): 4.685 4.685 4.685 90.00 90.00 90.00
Atoms (fractional coordinates):
Rb 0.000 0.000 0.000
Li 0.500 0.500 0.500
Co 0.000 0.000 0.500
Co 0.000 0.500 0.000
Co 0.500 0.000 0.000

Calculated formation energy in meV per atom: 2418

Entry 22:
Crystalline RbLi3Co at its relaxed geometry, computed with PBE.

Lattice parameters (Å, degrees): 5.160 5.160 5.160 90.00 90.00 90.00
Atoms (fractional coordinates):
Rb 0.000 0.000 0.000
Li 0.000 0.500 0.500
Li 0.500 0.000 0.500
Li 0.500 0.500 0.000
Co 0.500 0.500 0.500

Calculated formation energy in meV per atom: 551
ΔE to the lowest computed polymorph in kcal/mol of atoms: 0.00

Entry 23:
Crystalline RbLi2Co2 at its relaxed geometry, computed with PBE.

Lattice parameters (Å, degrees): 8.324 8.324 2.812 90.00 90.00 90.00
Atoms (fractional coordinates):
Rb 0.000 0.000 0.000
Rb 0.500 0.500 0.000
Li 0.169 0.331 0.000
Li 0.331 0.831 0.000
Li 0.669 0.169 0.000
Li 0.831 0.669 0.000
Co 0.094 0.594 0.500
Co 0.406 0.094 0.500
Co 0.594 0.906 0.500
Co 0.906 0.406 0.500

Calculated formation energy in meV per atom: 653
ΔE to the lowest computed polymorph in kcal/mol of atoms: 3.44

Entry 24:
Crystalline RbLi2Co2 at its relaxed geometry, computed with PBE.

Lattice parameters (Å, degrees): 11.202 11.202 11.202 162.91 162.91 24.26
Atoms (fractional coordinates):
Rb 0.000 0.000 0.000
Li 0.344 0.344 0.000
Li 0.656 0.656 0.000
Co 0.250 0.750 0.500
Co 0.750 0.250 0.500

Calculated formation energy in meV per atom: 504
ΔE to the lowest computed polymorph in kcal/mol of atoms: 0.00

Entry 25:
Crystalline RbLi3Co at its relaxed geometry, computed with PBE.

Lattice parameters (Å, degrees): 5.025 5.025 5.025 90.00 90.00 90.00
Atoms (fractional coordinates):
Rb 0.000 0.000 0.000
Li 0.000 0.000 0.500
Li 0.000 0.500 0.000
Li 0.500 0.000 0.000
Co 0.500 0.500 0.500

Calculated formation energy in meV per atom: 1330
ΔE to the lowest computed polymorph in kcal/mol of atoms: 17.96

Entry 26:
Crystalline RbLi2ScCo at its relaxed geometry, computed with PBE.

Lattice parameters (Å, degrees): 5.542 5.542 6.748 90.00 90.00 90.00
Atoms (fractional coordinates):
Rb 0.000 0.000 0.000
Li 0.000 0.500 0.500
Li 0.500 0.000 0.500
Sc 0.000 0.000 0.500
Co 0.500 0.500 0.000

Calculated formation energy in meV per atom: 1557

Entry 27:
Crystalline RbSrLi2Co at its relaxed geometry, computed with PBE.

Lattice parameters (Å, degrees): 5.380 5.380 5.701 90.00 90.00 90.00
Atoms (fractional coordinates):
Rb 0.000 0.000 0.000
Sr 0.500 0.500 0.500
Li 0.000 0.500 0.000
Li 0.500 0.000 0.000
Co 0.000 0.000 0.500

Calculated formation energy in meV per atom: 979

Entry 28:
Crystalline RbLi2CoTc at its relaxed geometry, computed with PBE.

Lattice parameters (Å, degrees): 5.153 5.153 4.370 90.00 90.00 90.00
Atoms (fractional coordinates):
Rb 0.000 0.000 0.000
Li 0.000 0.500 0.500
Li 0.500 0.000 0.500
Co 0.500 0.500 0.500
Tc 0.500 0.500 0.000

Calculated formation energy in meV per atom: 754